## a
The following is a DFT calculation (GGA-PBE) of TaGa3Mo after structural relaxation.

Calculated values
DOS at the Fermi energy   1.30 states/eV per atom

Structure (CIF):
```
data_TaGa3Mo
_chemical_formula_sum 'Ta1 Ga3 Mo1'
_cell_length_a 4.7280
_cell_length_b 4.7280
_cell_length_c 4.7280
_cell_angle_alpha 90.00
_cell_angle_beta 90.00
_cell_angle_gamma 90.00
_space_group_name_H-M_alt 'P m -3 m'
_space_group_IT_number 221
_space_group_name_Hall '-P 4 2 3'
loop_
_atom_site_label
_atom_site_type_symbol
_atom_site_fract_x
_atom_site_fract_y
_atom_site_fract_z
_atom_site_occupancy
Ta1 Ta 0.0000 0.0000 0.0000 1
Ga1 Ga 0.0000 0.5000 0.5000 1
Mo1 Mo 0.5000 0.5000 0.5000 1
```

## b
The following is a DFT calculation (GGA-PBE) of TaGa3Mo after structural relaxation.

Calculated values
DOS at the Fermi energy   0.50 states/eV per atom

Structure (CIF):
```
data_TaGa3Mo
_chemical_formula_sum 'Ta1 Ga3 Mo1'
_cell_length_a 4.9458
_cell_length_b 4.9458
_cell_length_c 4.9458
_cell_angle_alpha 90.00
_cell_angle_beta 90.00
_cell_angle_gamma 90.00
_space_group_name_H-M_alt 'P m -3 m'
_space_group_IT_number 221
_space_group_name_Hall '-P 4 2 3'
loop_
_atom_site_label
_atom_site_type_symbol
_atom_site_fract_x
_atom_site_fract_y
_atom_site_fract_z
_atom_site_occupancy
Ta1 Ta 0.0000 0.0000 0.0000 1
Ga1 Ga 0.0000 0.0000 0.5000 1
Mo1 Mo 0.5000 0.5000 0.5000 1
```

Taking the most stable structure as the zero point, the relative energies in meV per atom are a 0; b 60.

## a
The following is a DFT calculation (GGA-PBE) of GaTcMo after structural relaxation.

Calculated values
DOS at the Fermi energy   0.30 states/eV per atom

Structure (CIF):
```
data_GaTcMo
_chemical_formula_sum 'Ga2 Tc2 Mo2'
_cell_length_a 3.1379
_cell_length_b 3.1379
_cell_length_c 9.1131
_cell_angle_alpha 90.00
_cell_angle_beta 90.00
_cell_angle_gamma 90.00
_space_group_name_H-M_alt 'I 4 m m'
_space_group_IT_number 107
_space_group_name_Hall 'I 4 -2'
loop_
_atom_site_label
_atom_site_type_symbol
_atom_site_fract_x
_atom_site_fract_y
_atom_site_fract_z
_atom_site_occupancy
Ga1 Ga 0.0000 0.0000 0.0000 1
Tc1 Tc 0.0000 0.0000 0.6686 1
Mo1 Mo 0.0000 0.0000 0.3239 1
```

## b
The following is a DFT calculation (GGA-PBE) of GaTcMo after structural relaxation.

Calculated values
DOS at the Fermi energy   0.71 states/eV per atom

Structure (CIF):
```
data_GaTcMo
_chemical_formula_sum 'Ga1 Tc1 Mo1'
_cell_length_a 4.3698
_cell_length_b 4.3698
_cell_length_c 2.7427
_cell_angle_alpha 90.00
_cell_angle_beta 90.00
_cell_angle_gamma 120.00
_space_group_name_H-M_alt 'P 3 m 1'
_space_group_IT_number 156
loop_
_space_group_symop_operation_xyz
'x,y,z'
'-y,x-y,z'
'-x+y,-x,z'
'-y,-x,z'
'-x+y,y,z'
'x,x-y,z'
loop_
_atom_site_label
_atom_site_type_symbol
_atom_site_fract_x
_atom_site_fract_y
_atom_site_fract_z
_atom_site_occupancy
Ga1 Ga 0.0000 0.0000 0.0000 1
Tc1 Tc 0.6667 0.3333 0.2841 1
Mo1 Mo 0.3333 0.6667 0.5827 1
```

## c
The following is a DFT calculation (GGA-PBE) of GaTcMo after structural relaxation.

Calculated values
DOS at the Fermi energy   0.62 states/eV per atom

Structure (CIF):
```
data_GaTcMo
_chemical_formula_sum 'Ga2 Tc2 Mo2'
_cell_length_a 4.4126
_cell_length_b 4.4222
_cell_length_c 5.3312
_cell_angle_alpha 89.73
_cell_angle_beta 89.87
_cell_angle_gamma 60.15
_space_group_name_H-M_alt 'P -1'
_space_group_IT_number 2
loop_
_space_group_symop_operation_xyz
'x,y,z'
'-x,-y,-z'
loop_
_atom_site_label
_atom_site_type_symbol
_atom_site_fract_x
_atom_site_fract_y
_atom_site_fract_z
_atom_site_occupancy
Ga1 Ga 0.1667 0.1668 0.0779 1
Tc1 Tc 0.4995 0.4998 0.2417 1
Mo1 Mo 0.1669 0.1648 0.5818 1
```

Taking the most stable structure as the zero point, the relative energies in meV per atom are a 0; b 162; c 178.

## a
The following is a DFT calculation (GGA-PBE) of Ti2GaMo2 after structural relaxation.

Calculated values
DOS at the Fermi energy   0.92 states/eV per atom

Structure (CIF):
```
data_Ti2GaMo2
_chemical_formula_sum 'Ti4 Ga2 Mo4'
_cell_length_a 4.3279
_cell_length_b 14.1989
_cell_length_c 2.6359
_cell_angle_alpha 90.00
_cell_angle_beta 90.00
_cell_angle_gamma 90.00
_space_group_name_H-M_alt 'C m m m'
_space_group_IT_number 65
_space_group_name_Hall '-C 2 2'
loop_
_atom_site_label
_atom_site_type_symbol
_atom_site_fract_x
_atom_site_fract_y
_atom_site_fract_z
_atom_site_occupancy
Ti1 Ti 0.0000 0.1030 0.0000 1
Ga1 Ga 0.0000 0.5000 0.5000 1
Mo1 Mo 0.0000 0.3007 0.5000 1
```

## b
The following is a DFT calculation (GGA-PBE) of Ti2GaMo2 after structural relaxation.

Calculated values
DOS at the Fermi energy   0.90 states/eV per atom

Structure (CIF):
```
data_Ti2GaMo2
_chemical_formula_sum 'Ti4 Ga2 Mo4'
_cell_length_a 6.8497
_cell_length_b 6.8497
_cell_length_c 3.5887
_cell_angle_alpha 90.00
_cell_angle_beta 90.00
_cell_angle_gamma 90.00
_space_group_name_H-M_alt 'P 4/m b m'
_space_group_IT_number 127
_space_group_name_Hall '-P 4 2ab'
loop_
_atom_site_label
_atom_site_type_symbol
_atom_site_fract_x
_atom_site_fract_y
_atom_site_fract_z
_atom_site_occupancy
Ti1 Ti 0.1599 0.3401 0.0000 1
Ga1 Ga 0.0000 0.0000 0.5000 1
Mo1 Mo 0.1457 0.6457 0.5000 1
```

Taking the most stable structure as the zero point, the relative energies in meV per atom are a 0; b 126.

## a
The following is a DFT calculation (GGA-PBE) of Ti3GaMo2 after structural relaxation.

Calculated values
DOS at the Fermi energy   1.35 states/eV per atom

Structure (CIF):
```
data_Ti3GaMo2
_chemical_formula_sum 'Ti3 Ga1 Mo2'
_cell_length_a 3.2395
_cell_length_b 3.2395
_cell_length_c 9.1491
_cell_angle_alpha 90.00
_cell_angle_beta 90.00
_cell_angle_gamma 90.00
_space_group_name_H-M_alt 'P 4/m m m'
_space_group_IT_number 123
_space_group_name_Hall '-P 4 2'
loop_
_atom_site_label
_atom_site_type_symbol
_atom_site_fract_x
_atom_site_fract_y
_atom_site_fract_z
_atom_site_occupancy
Ti1 Ti 0.0000 0.0000 0.0000 1
Ti2 Ti 0.0000 0.0000 0.3255 1
Ga1 Ga 0.5000 0.5000 0.5000 1
Mo1 Mo 0.5000 0.5000 0.1730 1
```

## b
The following is a DFT calculation (GGA-PBE) of Ti3GaMo2 after structural relaxation.

Calculated values
DOS at the Fermi energy   0.97 states/eV per atom

Structure (CIF):
```
data_Ti3GaMo2
_chemical_formula_sum 'Ti12 Ga4 Mo8'
_cell_length_a 4.5288
_cell_length_b 13.4858
_cell_length_c 6.2746
_cell_angle_alpha 90.00
_cell_angle_beta 90.00
_cell_angle_gamma 90.00
_space_group_name_H-M_alt 'C m m m'
_space_group_IT_number 65
_space_group_name_Hall '-C 2 2'
loop_
_atom_site_label
_atom_site_type_symbol
_atom_site_fract_x
_atom_site_fract_y
_atom_site_fract_z
_atom_site_occupancy
Ti1 Ti 0.0000 0.0000 0.2401 1
Ti2 Ti 0.0000 0.3365 0.2406 1
Ga1 Ga 0.0000 0.1599 0.5000 1
Mo1 Mo 0.0000 0.1680 0.0000 1
Mo2 Mo 0.0000 0.5000 0.0000 1
Mo3 Mo 0.0000 0.5000 0.5000 1
```

Taking the most stable structure as the zero point, the relative energies in meV per atom are a 7; b 0.

## a
The following is a DFT calculation (GGA-PBE) of TiGa2Mo after structural relaxation.

Calculated values
DOS at the Fermi energy   0.66 states/eV per atom

Structure (CIF):
```
data_TiGa2Mo
_chemical_formula_sum 'Ti2 Ga4 Mo2'
_cell_length_a 4.9276
_cell_length_b 8.9023
_cell_length_c 2.9072
_cell_angle_alpha 90.00
_cell_angle_beta 90.00
_cell_angle_gamma 90.00
_space_group_name_H-M_alt 'P n n m'
_space_group_IT_number 58
loop_
_space_group_symop_operation_xyz
'x,y,z'
'-x,-y,-z'
'-x,-y,z'
'x,y,-z'
'x+1/2,-y+1/2,-z+1/2'
'-x+1/2,y+1/2,z+1/2'
'-x+1/2,y+1/2,-z+1/2'
'x+1/2,-y+1/2,z+1/2'
loop_
_atom_site_label
_atom_site_type_symbol
_atom_site_fract_x
_atom_site_fract_y
_atom_site_fract_z
_atom_site_occupancy
Ti1 Ti 0.0000 0.0000 0.0000 1
Ga1 Ga 0.1640 0.2521 0.5000 1
Mo1 Mo 0.0000 0.5000 0.0000 1
```

## b
The following is a DFT calculation (GGA-PBE) of TiGa2Mo after structural relaxation.

Calculated values
DOS at the Fermi energy   0.43 states/eV per atom

Structure (CIF):
```
data_TiGa2Mo
_chemical_formula_sum 'Ti1 Ga2 Mo1'
_cell_length_a 3.8474
_cell_length_b 3.8474
_cell_length_c 4.1484
_cell_angle_alpha 90.00
_cell_angle_beta 90.00
_cell_angle_gamma 90.00
_space_group_name_H-M_alt 'P 4/m m m'
_space_group_IT_number 123
_space_group_name_Hall '-P 4 2'
loop_
_atom_site_label
_atom_site_type_symbol
_atom_site_fract_x
_atom_site_fract_y
_atom_site_fract_z
_atom_site_occupancy
Ti1 Ti 0.0000 0.0000 0.0000 1
Ga1 Ga 0.0000 0.5000 0.5000 1
Mo1 Mo 0.5000 0.5000 0.0000 1
```

## c
The following is a DFT calculation (GGA-PBE) of TiGa2Mo after structural relaxation.

Calculated values
DOS at the Fermi energy   0.27 states/eV per atom

Structure (CIF):
```
data_TiGa2Mo
_chemical_formula_sum 'Ti4 Ga8 Mo4'
_cell_length_a 7.0076
_cell_length_b 7.0076
_cell_length_c 5.4397
_cell_angle_alpha 90.00
_cell_angle_beta 90.00
_cell_angle_gamma 90.00
_space_group_name_H-M_alt 'I -4 2 d'
_space_group_IT_number 122
_space_group_name_Hall 'I -4 2bw'
loop_
_atom_site_label
_atom_site_type_symbol
_atom_site_fract_x
_atom_site_fract_y
_atom_site_fract_z
_atom_site_occupancy
Ti1 Ti 0.0000 0.0000 0.0000 1
Ga1 Ga 0.2475 0.2500 0.6250 1
Mo1 Mo 0.0000 0.0000 0.5000 1
```

## d
The following is a DFT calculation (GGA-PBE) of TiGa2Mo after structural relaxation.

Calculated values
DOS at the Fermi energy   0.34 states/eV per atom

Structure (CIF):
```
data_TiGa2Mo
_chemical_formula_sum 'Ti1 Ga2 Mo1'
_cell_length_a 3.3794
_cell_length_b 3.3794
_cell_length_c 5.4365
_cell_angle_alpha 90.00
_cell_angle_beta 90.00
_cell_angle_gamma 90.00
_space_group_name_H-M_alt 'P 4/m m m'
_space_group_IT_number 123
_space_group_name_Hall '-P 4 2'
loop_
_atom_site_label
_atom_site_type_symbol
_atom_site_fract_x
_atom_site_fract_y
_atom_site_fract_z
_atom_site_occupancy
Ti1 Ti 0.0000 0.0000 0.0000 1
Ga1 Ga 0.5000 0.5000 0.2552 1
Mo1 Mo 0.0000 0.0000 0.5000 1
```

Taking the most stable structure as the zero point, the relative energies in meV per atom are a 35; b 0; c 327; d 70.